TlNi2W: optimized geometry, PBE-GGA.

Properties
- Symmetry: P2/m (10)
- DOS at the Fermi energy: 1.51 states/eV/atom
- E_tot: -6.0486 eV per atom
- ΔE_f: 15.49 kcal/mol of atoms
- Total magnetic moment: 0.58 μB/f.u.
- V: 61.5 Å³/f.u.

The structure in CIF format:
```
data_TlNi2W
_space_group_name_H-M_alt 'P 1'
_space_group_IT_number 1
_cell_length_a 2.8332
_cell_length_b 5.0494
_cell_length_c 5.4918
_cell_angle_alpha 51.52
_cell_angle_beta 90.00
_cell_angle_gamma 90.00
loop_
_space_group_symop_operation_xyz
'x,y,z'
loop_
_atom_site_label
_atom_site_fract_x
_atom_site_fract_y
_atom_site_fract_z
Ni1 0.0000 0.0000 0.0000
Ni2 0.5000 0.5000 0.0000
W1 0.0000 0.0000 0.5000
Tl1 0.5000 0.5000 0.5000
```